Re2Au2F | GGA-PBE | relaxed

Unit cell a=8.2007 b=8.2007 c=2.6854 alpha=90.00 beta=90.00 gamma=90.00
Last column: nearest neighbours and their distance in Å.
Space group P4/mbm (No. 127)
Inequivalent atoms, fractional coordinates:
Re: 0.1028 0.3972 0.0000 (multiplicity 4)  1 Re 2.38
Au: 0.1913 0.6913 0.5000 (multiplicity 4)  2 Au 2.69, 6 Re 2.74-2.85, 2 F 2.98
F: 0.0000 0.0000 0.5000 (multiplicity 2)  2 F 2.69, 4 Au 2.98

E_form (uncorrected), eV per atom: 0.639
Crystal system: tetragonal
DOS(E_F), states/eV/atom: 1.366
Total DFT energy (no corrections), eV/atom: -6.025

***

Re2Au2F | GGA-PBE | relaxed

Unit cell a=3.5544 b=3.5544 c=14.2661 alpha=90.00 beta=90.00 gamma=90.00
Last column: nearest neighbours and their distance in Å.
Space group I4/mmm (No. 139)
Inequivalent atoms, fractional coordinates:
Re: 0.0000 0.5000 0.2500 (multiplicity 4)  4 Re 2.51, 4 Au 2.80
Au: 0.0000 0.0000 0.0981 (multiplicity 4)  1 Au 2.80, 4 Re 2.80, 4 F 2.88
F: 0.0000 0.0000 0.5000 (multiplicity 2)  8 Au 2.88

E_form (uncorrected), eV per atom: 0.496
Crystal system: tetragonal
DOS(E_F), states/eV/atom: 0.823
Total DFT energy (no corrections), eV/atom: -6.169

***

ReAu3F | GGA-PBE | relaxed

Unit cell a=4.5454 b=4.5454 c=4.5454 alpha=90.00 beta=90.00 gamma=90.00
Last column: nearest neighbours and their distance in Å.
Space group Pm-3m (No. 221)
Inequivalent atoms, fractional coordinates:
Re: 0.0000 0.0000 0.0000 (multiplicity 1)  12 Au 3.21
Au: 0.0000 0.5000 0.5000 (multiplicity 3)  2 F 2.27
F: 0.5000 0.5000 0.5000 (multiplicity 1)  6 Au 2.27

E_form (uncorrected), eV per atom: 1.156
Crystal system: cubic
DOS(E_F), states/eV/atom: 1.067
Total DFT energy (no corrections), eV/atom: -3.674

***

ReAu3F | GGA-PBE | relaxed

Unit cell a=5.0181 b=5.0181 c=5.0181 alpha=90.00 beta=90.00 gamma=90.00
Last column: nearest neighbours and their distance in Å.
Space group Pm-3m (No. 221)
Inequivalent atoms, fractional coordinates:
Re: 0.0000 0.0000 0.0000 (multiplicity 1)  6 Au 2.51
Au: 0.0000 0.0000 0.5000 (multiplicity 3)  2 Re 2.51
F: 0.5000 0.5000 0.5000 (multiplicity 1)  12 Au 3.55

E_form (uncorrected), eV per atom: 1.172
Crystal system: cubic
DOS(E_F), states/eV/atom: 1.110
Total DFT energy (no corrections), eV/atom: -3.658

***

Re3AuF | GGA-PBE | relaxed

Unit cell a=4.2232 b=4.2232 c=4.2232 alpha=90.00 beta=90.00 gamma=90.00
Last column: nearest neighbours and their distance in Å.
Space group Pm-3m (No. 221)
Inequivalent atoms, fractional coordinates:
Re: 0.0000 0.0000 0.5000 (multiplicity 3)  2 F 2.11
Au: 0.5000 0.5000 0.5000 (multiplicity 1)  12 Re 2.99
F: 0.0000 0.0000 0.0000 (multiplicity 1)  6 Re 2.11

E_form (uncorrected), eV per atom: 1.395
Crystal system: cubic
DOS(E_F), states/eV/atom: 0.803
Total DFT energy (no corrections), eV/atom: -7.104

***

Re3AuF | GGA-PBE | relaxed

Unit cell a=5.1769 b=5.1769 c=5.1769 alpha=90.00 beta=90.00 gamma=90.00
Last column: nearest neighbours and their distance in Å.
Space group Pm-3m (No. 221)
Inequivalent atoms, fractional coordinates:
Re: 0.0000 0.0000 0.5000 (multiplicity 3)  2 Au 2.59
Au: 0.0000 0.0000 0.0000 (multiplicity 1)  6 Re 2.59
F: 0.5000 0.5000 0.5000 (multiplicity 1)  12 Re 3.66

E_form (uncorrected), eV per atom: 2.956
Crystal system: cubic
DOS(E_F), states/eV/atom: 0.659
Total DFT energy (no corrections), eV/atom: -5.542

***

ReRuAu2F | GGA-PBE | relaxed

Unit cell a=5.0682 b=5.0682 c=3.7617 alpha=90.00 beta=90.00 gamma=90.00
Last column: nearest neighbours and their distance in Å.
Space group P4/mmm (No. 123)
Inequivalent atoms, fractional coordinates:
Re: 0.0000 0.0000 0.0000 (multiplicity 1)  2 F 1.88
Ru: 0.5000 0.5000 0.5000 (multiplicity 1)  8 Au 3.16
Au: 0.0000 0.5000 0.0000 (multiplicity 2)  2 Re 2.53
F: 0.0000 0.0000 0.5000 (multiplicity 1)  2 Re 1.88

E_form (uncorrected), eV per atom: 1.052
Crystal system: tetragonal
DOS(E_F), states/eV/atom: 1.767
Total DFT energy (no corrections), eV/atom: -4.978

***

ReRu2AuF | GGA-PBE | relaxed

Unit cell a=4.3016 b=4.3016 c=4.0229 alpha=90.00 beta=90.00 gamma=90.00
Last column: nearest neighbours and their distance in Å.
Space group P4/mmm (No. 123)
Inequivalent atoms, fractional coordinates:
Re: 0.0000 0.0000 0.0000 (multiplicity 1)  2 F 2.01
Ru: 0.0000 0.5000 0.5000 (multiplicity 2)  2 F 2.15
Au: 0.5000 0.5000 0.0000 (multiplicity 1)  8 Ru 2.94, 4 Re 3.04
F: 0.0000 0.0000 0.5000 (multiplicity 1)  2 Re 2.01, 4 Ru 2.15

E_form (uncorrected), eV per atom: 1.129
Crystal system: tetragonal
DOS(E_F), states/eV/atom: 1.406
Total DFT energy (no corrections), eV/atom: -6.101

***

ReRu2AuF | GGA-PBE | relaxed

Unit cell a=4.9854 b=4.9854 c=5.0728 alpha=90.00 beta=90.00 gamma=90.00
Last column: nearest neighbours and their distance in Å.
Space group P4/mmm (No. 123)
Inequivalent atoms, fractional coordinates:
Re: 0.0000 0.0000 0.0000 (multiplicity 1)  2 Au 2.54
Ru: 0.0000 0.5000 0.5000 (multiplicity 2)  2 Au 2.49
Au: 0.0000 0.0000 0.5000 (multiplicity 1)  4 Ru 2.49, 2 Re 2.54
F: 0.5000 0.5000 0.0000 (multiplicity 1)  4 Re 3.53, 8 Ru 3.56

E_form (uncorrected), eV per atom: 2.336
Crystal system: tetragonal
DOS(E_F), states/eV/atom: 1.010
Total DFT energy (no corrections), eV/atom: -4.894

***

RhAuF3 | GGA-PBE | relaxed

Unit cell a=4.1865 b=4.1865 c=4.1865 alpha=90.00 beta=90.00 gamma=90.00
Last column: nearest neighbours and their distance in Å.
Space group Pm-3m (No. 221)
Inequivalent atoms, fractional coordinates:
Rh: 0.0000 0.0000 0.0000 (multiplicity 1)  6 F 2.09
Au: 0.5000 0.5000 0.5000 (multiplicity 1)  12 F 2.96
F: 0.0000 0.0000 0.5000 (multiplicity 3)  2 Rh 2.09

E_form (uncorrected), eV per atom: -0.637
Crystal system: cubic
DOS(E_F), states/eV/atom: 0.448
Total DFT energy (no corrections), eV/atom: -3.886

***

Rh3AuF | GGA-PBE | relaxed

Unit cell a=4.9586 b=4.9586 c=4.9586 alpha=90.00 beta=90.00 gamma=90.00
Last column: nearest neighbours and their distance in Å.
Space group Pm-3m (No. 221)
Inequivalent atoms, fractional coordinates:
Rh: 0.0000 0.0000 0.5000 (multiplicity 3)  2 Au 2.48
Au: 0.0000 0.0000 0.0000 (multiplicity 1)  6 Rh 2.48
F: 0.5000 0.5000 0.5000 (multiplicity 1)  12 Rh 3.51

E_form (uncorrected), eV per atom: 1.597
Crystal system: cubic
DOS(E_F), states/eV/atom: 2.966
Total DFT energy (no corrections), eV/atom: -3.844

***

Rh3AuF | GGA-PBE | relaxed

Unit cell a=4.2835 b=4.2835 c=4.2835 alpha=90.00 beta=90.00 gamma=90.00
Last column: nearest neighbours and their distance in Å.
Space group Pm-3m (No. 221)
Inequivalent atoms, fractional coordinates:
Rh: 0.0000 0.0000 0.5000 (multiplicity 3)  2 F 2.14
Au: 0.5000 0.5000 0.5000 (multiplicity 1)  12 Rh 3.03
F: 0.0000 0.0000 0.0000 (multiplicity 1)  6 Rh 2.14

E_form (uncorrected), eV per atom: 0.649
Crystal system: cubic
DOS(E_F), states/eV/atom: 1.593
Total DFT energy (no corrections), eV/atom: -4.792